1.
# MnTl2Co

An optimized crystal structure of MnTl2Co (PBE, the Alexandria database).

The density of states at the Fermi level comes out at 2.6 states/eV/f.u. The symmetry is Cm. The formation energy from the elements comes out at 0.447 eV/atom. Its energy relative to the lowest polymorph listed for this composition is 0.068 eV/atom.

The structure in CIF format:
```
data_MnTl2Co
_space_group_name_H-M_alt 'P 1'
_space_group_IT_number 1
_space_group_name_Hall 'P 1'
_cell_length_a 6.2831
_cell_length_b 6.2831
_cell_length_c 4.5120
_cell_angle_alpha 110.75
_cell_angle_beta 110.75
_cell_angle_gamma 28.36
loop_
_atom_site_label
_atom_site_type_symbol
_atom_site_fract_x
_atom_site_fract_y
_atom_site_fract_z
_atom_site_occupancy
Mn1 Mn 0.0000 0.0000 0.0000 1
Tl1 Tl 0.1808 0.1808 0.6812 1
Tl2 Tl 0.3949 0.3949 0.3954 1
Co1 Co 0.6685 0.6685 0.1691 1
```

2.
# MnTlCo

An optimized crystal structure of MnTlCo (PBE, the Alexandria database).

The density of states at the Fermi level comes out at 0.9 states/eV/f.u. The symmetry is I4mm. The formation energy from the elements comes out at 0.349 eV/atom. Its energy relative to the lowest polymorph listed for this composition is 0.000 eV/atom.

The structure in CIF format:
```
data_MnTlCo
_space_group_name_H-M_alt 'P 1'
_space_group_IT_number 1
_space_group_name_Hall 'P 1'
_cell_length_a 5.1827
_cell_length_b 5.1827
_cell_length_c 5.1827
_cell_angle_alpha 143.90
_cell_angle_beta 143.90
_cell_angle_gamma 51.98
loop_
_atom_site_label
_atom_site_type_symbol
_atom_site_fract_x
_atom_site_fract_y
_atom_site_fract_z
_atom_site_occupancy
Mn1 Mn 0.0000 0.0000 0.0000 1
Tl1 Tl 0.6947 0.6947 0.0000 1
Co1 Co 0.3793 0.3793 0.0000 1
```

3.
# MnTlCo2

An optimized crystal structure of MnTlCo2 (PBE, the Alexandria database).

The density of states at the Fermi level comes out at 3.7 states/eV/f.u. The symmetry is Fm-3m. The formation energy from the elements comes out at 0.345 eV/atom. Its energy relative to the lowest polymorph listed for this composition is 0.014 eV/atom.

The structure in CIF format:
```
data_MnTlCo2
_space_group_name_H-M_alt 'P 1'
_space_group_IT_number 1
_space_group_name_Hall 'P 1'
_cell_length_a 4.2921
_cell_length_b 4.2921
_cell_length_c 4.2921
_cell_angle_alpha 60.00
_cell_angle_beta 60.00
_cell_angle_gamma 60.00
loop_
_atom_site_label
_atom_site_type_symbol
_atom_site_fract_x
_atom_site_fract_y
_atom_site_fract_z
_atom_site_occupancy
Mn1 Mn 0.0000 0.0000 0.0000 1
Tl1 Tl 0.5000 0.5000 0.5000 1
Co1 Co 0.2500 0.2500 0.2500 1
Co2 Co 0.7500 0.7500 0.7500 1
```